A plane-wave DFT calculation with PBE was carried out for an optimized crystal structure of Li2CoTe.

Cell: 4.4392 4.1592 4.9387 Å, 65.79 90.00 90.00°
Last column: magnetic moment on the atom in μB.
Fractional positions:
Li1 0.5000 0.2631 0.3422  -0.02
Li2 0.0000 0.9854 0.9123  -0.01
Te1 0.0000 0.6779 0.5184  0.04
Co1 0.5000 0.5736 0.7272  1.27

Values from the calculation:
**Formation energy without anion corrections**: -0.083 eV/atom
**V**: 83.2 Å³/cell
**Fermi-level density of states**: 0.94 states/eV/atom
**E**: -3.60 eV per atom

---

A plane-wave DFT calculation with PBE was carried out for an optimized crystal structure of Li2CoTe.

Cell: 4.1337 3.8721 3.8721 Å, 90.00 90.00 90.00°
Last column: magnetic moment on the atom in μB.
Fractional positions:
Te1 0.5000 0.5000 0.0000  0.03
Li1 0.0000 0.0000 0.0000  -0.01
Li2 0.0000 0.5000 0.5000  -0.01
Co1 0.5000 0.0000 0.5000  1.32

Values from the calculation:
**Formation energy without anion corrections**: -0.221 eV/atom
**V**: 62.0 Å³/cell
**Fermi-level density of states**: 0.88 states/eV/atom
**E**: -3.74 eV per atom

---

A plane-wave DFT calculation with PBE was carried out for an optimized crystal structure of LiCoTe2.

Cell: 3.3351 3.3351 7.3262 Å, 90.00 90.00 90.00°
Last column: magnetic moment on the atom in μB.
Fractional positions:
Te1 0.0000 0.0000 0.4695  0.00
Te2 0.0000 0.0000 0.0305  0.00
Li1 0.5000 0.5000 0.7500  0.01
Co1 0.5000 0.5000 0.2500  1.14

Values from the calculation:
**Formation energy without anion corrections**: 0.004 eV/atom
**V**: 81.5 Å³/cell
**Fermi-level density of states**: 0.63 states/eV/atom
**E**: -3.82 eV per atom

---

A plane-wave DFT calculation with PBE was carried out for an optimized crystal structure of LiCoTe2.

Cell: 8.3021 8.3021 8.3021 Å, 26.78 26.78 26.78°
Fractional positions:
Co1 0.5000 0.5000 0.5000
Li1 0.0000 0.0000 0.0000
Te1 0.1123 0.1123 0.1123
Te2 0.8877 0.8877 0.8877

Values from the calculation:
**Formation energy without anion corrections**: -0.257 eV/atom
**V**: 102.5 Å³/cell
**Fermi-level density of states**: 0.35 states/eV/atom
**E**: -4.08 eV per atom

---

A plane-wave DFT calculation with PBE was carried out for an optimized crystal structure of LiCoTe2.

Cell: 3.7756 3.2930 7.2842 Å, 91.47 90.00 90.00°
Last column: magnetic moment on the atom in μB.
Fractional positions:
Te1 0.0000 0.3543 0.4782  -0.01
Te2 0.0000 0.1457 0.0218  -0.01
Li1 0.5000 0.7500 0.7500  0.00
Co1 0.5000 0.2500 0.2500  0.99

Values from the calculation:
**Formation energy without anion corrections**: -0.113 eV/atom
**V**: 90.5 Å³/cell
**Fermi-level density of states**: 0.58 states/eV/atom
**E**: -3.94 eV per atom

---

A plane-wave DFT calculation with PBE was carried out for an optimized crystal structure of Li2CoTe.

Cell: 5.0273 5.0273 3.7891 Å, 67.83 67.83 44.27°
Last column: magnetic moment on the atom in μB.
Fractional positions:
Li1 0.5003 0.5003 0.4998  -0.03
Li2 0.9997 0.9997 0.0002  -0.03
Te1 0.7500 0.7500 0.7500  0.03
Co1 0.2500 0.2500 0.2500  0.89

Values from the calculation:
**Formation energy without anion corrections**: -0.172 eV/atom
**V**: 61.1 Å³/cell
**Fermi-level density of states**: 0.61 states/eV/atom
**E**: -3.69 eV per atom

---

A plane-wave DFT calculation with PBE was carried out for an optimized crystal structure of LiCoTe2.

Cell: 5.5381 5.5381 3.1547 Å, 71.78 71.78 85.57°
Last column: magnetic moment on the atom in μB.
Fractional positions:
Te1 0.0000 0.0000 0.0000  0.05
Te2 0.5000 0.5000 0.0000  0.05
Co1 0.5000 0.0000 0.5000  1.71
Li1 0.0000 0.5000 0.5000  0.00

Values from the calculation:
**Formation energy without anion corrections**: 0.026 eV/atom
**V**: 87.3 Å³/cell
**Fermi-level density of states**: 1.32 states/eV/atom
**E**: -3.80 eV per atom

---

A plane-wave DFT calculation with PBE was carried out for an optimized crystal structure of Li2CoTe.

Cell: 8.9701 8.9701 8.9701 Å, 19.83 19.83 19.83°
Last column: magnetic moment on the atom in μB.
Fractional positions:
Te1 0.2500 0.2500 0.2500  -0.01
Li1 0.4932 0.4932 0.4932  -0.03
Li2 0.0068 0.0068 0.0068  -0.03
Co1 0.7500 0.7500 0.7500  1.73

Values from the calculation:
**Formation energy without anion corrections**: 0.219 eV/atom
**V**: 72.6 Å³/cell
**Fermi-level density of states**: 1.00 states/eV/atom
**E**: -3.30 eV per atom

---

A plane-wave DFT calculation with PBE was carried out for an optimized crystal structure of LiCoTe.

Cell: 4.2174 4.2174 3.5890 Å, 90.00 90.00 120.00°
Last column: magnetic moment on the atom in μB.
Fractional positions:
Co1 0.0000 0.0000 0.8335  0.93
Te1 0.6667 0.3333 0.8335  0.02
Li1 0.3333 0.6667 0.3330  -0.01

Values from the calculation:
**Formation energy without anion corrections**: -0.143 eV/atom
**ΔE to the lowest computed polymorph**: 254.8 meV/atom
**V**: 55.3 Å³/cell
**Fermi-level density of states**: 0.61 states/eV/atom
**E**: -4.20 eV per atom

---

A plane-wave DFT calculation with PBE was carried out for an optimized crystal structure of LiCoTe2.

Cell: 7.2997 7.2997 7.2997 Å, 154.46 150.06 39.75°
Fractional positions:
Co1 0.4586 0.4586 0.0000
Te1 0.3097 0.8097 0.5000
Te2 0.0325 0.0325 0.0000
Li1 0.6992 0.1992 0.5000

Values from the calculation:
**Formation energy without anion corrections**: -0.173 eV/atom
**V**: 83.6 Å³/cell
**Fermi-level density of states**: 0.68 states/eV/atom
**E**: -4.00 eV per atom

---

A plane-wave DFT calculation with PBE was carried out for an optimized crystal structure of Li2CoTe2.

Cell: 6.9972 6.9972 4.3119 Å, 90.00 90.00 90.00°
Last column: magnetic moment on the atom in μB.
Fractional positions:
Te1 0.6707 0.1707 0.0000  0.00
Te2 0.8293 0.6707 0.0000  0.00
Te3 0.3293 0.8293 0.0000  0.00
Te4 0.1707 0.3293 0.0000  0.00
Co1 0.5000 0.5000 0.0000  1.07
Co2 0.0000 0.0000 0.0000  1.05
Li1 0.6482 0.8518 0.5000  0.00
Li2 0.1482 0.6482 0.5000  0.00
Li3 0.3518 0.1482 0.5000  0.00
Li4 0.8518 0.3518 0.5000  0.00

Values from the calculation:
**Formation energy without anion corrections**: -0.301 eV/atom
**V**: 211.1 Å³/cell
**Fermi-level density of states**: 0.99 states/eV/atom
**E**: -3.74 eV per atom

---

A plane-wave DFT calculation with PBE was carried out for an optimized crystal structure of Li2CoTe.

Cell: 4.3095 4.3095 4.3095 Å, 120.07 120.04 89.90°
Fractional positions:
Co1 0.7500 0.2500 0.5000
Li1 0.2499 0.7499 0.5000
Li2 0.0001 0.0001 0.0000
Te1 0.5001 0.5001 0.0000

Values from the calculation:
**Formation energy without anion corrections**: -0.288 eV/atom
**V**: 56.5 Å³/cell
**Fermi-level density of states**: 0.65 states/eV/atom
**E**: -3.81 eV per atom

---

A plane-wave DFT calculation with PBE was carried out for an optimized crystal structure of LiCoTe2.

Cell: 8.8147 8.8147 8.8147 Å, 23.48 23.48 23.48°
Fractional positions:
Te1 0.2189 0.2189 0.2189
Te2 0.0163 0.0163 0.0163
Co1 0.5057 0.5057 0.5057
Li1 0.7591 0.7591 0.7591

Values from the calculation:
**Formation energy without anion corrections**: 0.048 eV/atom
**V**: 95.5 Å³/cell
**Fermi-level density of states**: 0.83 states/eV/atom
**E**: -3.78 eV per atom

---

A plane-wave DFT calculation with PBE was carried out for an optimized crystal structure of LiCoTe2.

Cell: 4.9700 4.9700 4.9700 Å, 60.00 60.00 60.00°
Last column: magnetic moment on the atom in μB.
Fractional positions:
Te1 0.2500 0.2500 0.2500  0.04
Te2 0.0000 0.0000 0.0000  0.07
Co1 0.5000 0.5000 0.5000  1.76
Li1 0.7500 0.7500 0.7500  0.00

Values from the calculation:
**Formation energy without anion corrections**: 0.471 eV/atom
**V**: 86.8 Å³/cell
**Fermi-level density of states**: 1.75 states/eV/atom
**E**: -3.35 eV per atom

---

A plane-wave DFT calculation with PBE was carried out for an optimized crystal structure of LiCoTe2.

Cell: 3.5274 3.5274 7.6749 Å, 90.00 90.00 113.26°
Last column: magnetic moment on the atom in μB.
Fractional positions:
Te1 0.0000 0.0000 0.0315  0.00
Te2 0.0000 0.0000 0.4685  0.00
Co1 0.5000 0.5000 0.2500  0.92
Li1 0.5000 0.5000 0.7500  0.00

Values from the calculation:
**Formation energy without anion corrections**: -0.027 eV/atom
**V**: 87.7 Å³/cell
**Fermi-level density of states**: 0.90 states/eV/atom
**E**: -3.85 eV per atom